No. 1
HgAu2Br2 (PBE-GGA, optimized geometry); formation energy (no corrections) = 168 meV/atom; distance to the lowest polymorph of the same formula = 50 meV/atom
1.0
5.644 0.000 0.000
0.000 5.644 0.000
0.000 0.000 8.311
Hg Au Br
2 4 4
Cartesian
0.000 0.000 0.000
2.822 2.822 4.156
0.000 0.000 2.750
0.000 0.000 5.561
2.822 2.822 1.405
2.822 2.822 6.906
0.000 2.822 2.078
0.000 2.822 6.233
2.822 0.000 2.078
2.822 0.000 6.233


No. 2
EuErCdSi (PBE-GGA, optimized geometry); formation energy (no corrections) = -340 meV/atom
1.0
7.339 0.000 0.000
0.000 7.339 0.000
0.000 0.000 7.339
Eu Er Cd Si
4 4 4 4
Cartesian
0.000 0.000 0.000
0.000 3.669 3.669
3.669 0.000 3.669
3.669 3.669 0.000
0.000 0.000 3.669
0.000 3.669 0.000
3.669 0.000 0.000
3.669 3.669 3.669
1.835 1.835 1.835
1.835 5.504 5.504
5.504 1.835 5.504
5.504 5.504 1.835
1.835 1.835 5.504
1.835 5.504 1.835
5.504 1.835 1.835
5.504 5.504 5.504


No. 3
Ca2TaTe (PBE-GGA, optimized geometry); formation energy (no corrections) = 254 meV/atom
1.0
4.537 0.000 0.000
0.000 4.537 0.000
0.000 0.000 10.516
Ca Ta Te
4 2 2
Cartesian
0.000 0.000 0.000
0.000 2.269 2.629
2.269 0.000 7.887
2.269 2.269 5.258
0.000 2.269 7.887
2.269 0.000 2.629
0.000 0.000 5.258
2.269 2.269 0.000


Q: The highest formation energy (no corrections) belongs to which entry?
A: Ca2TaTe